DFT (PBE-GGA) results for crystalline YVGa3 at its relaxed geometry.

a = 5.340 Å, b = 5.340 Å, c = 5.340 Å
α = 90.00°, β = 90.00°, γ = 90.00°
Site moments in Bohr magnetons follow the coordinates.
Atoms (fractional coordinates):
1 Y 0.000 0.000 0.000  0.05
2 Ga 0.000 0.500 0.000  0.01
3 Ga 0.000 0.000 0.500  0.01
4 Ga 0.500 0.000 0.000  0.01
5 V 0.500 0.500 0.500  3.03

Output
Its excess energy over the best structure of this formula in the dataset is 6.34 eV per formula unit. The calculation puts the calculated volume at 152.3 Å³/f.u. The formation energy comes out at 1.14 eV per atom. For the total energy, the calculation gives -3.796 eV/atom. As for the density of states at the Fermi level: 8.4 states/eV/cell.